A geometry-optimized La2ScAl2 structure, computed with PBE.

The calculation puts the electronic total energy at -5.01 eV per atom. Its energy of formation is -26 kJ per mole of atoms.

The space group is P4/mbm (No. 127) and the conventional cell measures 7.746, 7.746 and 4.715 Å, with angles of 90.00, 90.00 and 90.00 degrees. The distinct sites, in fractional coordinates, are La at (0.174, 0.326, 0.000), Sc at (0.000, 0.000, 0.500) and Al at (0.123, 0.623, 0.500).

***

A geometry-optimized LaScAl2 structure, computed with PBE.

The calculation puts the electronic total energy at -4.62 eV per atom. Its energy of formation is 6 kJ per mole of atoms.

The space group is R3m (No. 160, hexagonal axes) and the conventional cell measures 3.2512, 3.2512 and 31.1019 Å, with angles of 90.00, 90.00 and 120.00 degrees. The distinct sites, in fractional coordinates, are La at (0.0000, 0.0000, 0.0000), Sc at (0.0000, 0.0000, 0.2381), Al at (0.0000, 0.0000, 0.4944) and Al at (0.0000, 0.0000, 0.7569).

***

A geometry-optimized La3ScAl structure, computed with PBE.

The calculation puts the electronic total energy at -4.55 eV per atom. Its energy of formation is 41 kJ per mole of atoms.

The space group is Pm-3m (No. 221) and the conventional cell measures 5.792, 5.792 and 5.792 Å, with angles of 90.00, 90.00 and 90.00 degrees. The distinct sites, in fractional coordinates, are La at (0.000, 0.000, 0.500), Sc at (0.500, 0.500, 0.500) and Al at (0.000, 0.000, 0.000).

***

A geometry-optimized LaSc2Al2 structure, computed with PBE.

The calculation puts the electronic total energy at -5.31 eV per atom. Its energy of formation is -29 kJ per mole of atoms.

The space group is P4/mbm (No. 127) and the conventional cell measures 8.345, 8.345 and 3.367 Å, with angles of 90.00, 90.00 and 90.00 degrees. The distinct sites, in fractional coordinates, are La at (0.000, 0.000, 0.000), Sc at (0.179, 0.321, 0.500) and Al at (0.114, 0.614, 0.000).

***

A geometry-optimized La3ScAl8 structure, computed with PBE.

The calculation puts the electronic total energy at -4.73 eV per atom. Its energy of formation is -46 kJ per mole of atoms.

The space group is R3m (No. 160, hexagonal axes) and the conventional cell measures 5.6520, 5.6520 and 27.9699 Å, with angles of 90.00, 90.00 and 120.00 degrees. The distinct sites, in fractional coordinates, are La at (0.0000, 0.0000, 0.0000), La at (0.0000, 0.0000, 0.1261), La at (0.0000, 0.0000, 0.5002), Sc at (0.0000, 0.0000, 0.6255), Al at (0.0000, 0.0000, 0.3124), Al at (0.0000, 0.0000, 0.8134), Al at (0.0014, 0.5007, 0.5651) and Al at (0.1678, 0.3356, 0.3936).

***

A geometry-optimized LaScAl2 structure, computed with PBE.

The calculation puts the electronic total energy at -5.04 eV per atom. Its energy of formation is -35 kJ per mole of atoms.

The space group is Fm-3m (No. 225) and the conventional cell measures 7.191, 7.191 and 7.191 Å, with angles of 90.00, 90.00 and 90.00 degrees. The distinct sites, in fractional coordinates, are La at (0.000, 0.000, 0.000), Sc at (0.000, 0.000, 0.500) and Al at (0.250, 0.250, 0.250).

***

A geometry-optimized LaSc2Al2 structure, computed with PBE.

The calculation puts the electronic total energy at -5.06 eV per atom. Its energy of formation is -4 kJ per mole of atoms.

The space group is I4/mmm (No. 139) and the conventional cell measures 4.630, 4.630 and 11.977 Å, with angles of 90.00, 90.00 and 90.00 degrees. The distinct sites, in fractional coordinates, are La at (0.000, 0.000, 0.000), Sc at (0.000, 0.000, 0.374) and Al at (0.000, 0.500, 0.250).

***

A geometry-optimized LaScAl2 structure, computed with PBE.

The calculation puts the electronic total energy at -5.08 eV per atom. Its energy of formation is -38 kJ per mole of atoms.

The space group is P4/mmm (No. 123) and the conventional cell measures 3.576, 3.576 and 7.253 Å, with angles of 90.00, 90.00 and 90.00 degrees. The distinct sites, in fractional coordinates, are La at (0.000, 0.000, 0.000), Sc at (0.000, 0.000, 0.500) and Al at (0.500, 0.500, 0.292).

***

| no. | calculated volume (Å³/cell) |
| --- | --- |
| 1 | 283 |
| 2 | 285 |
| 3 | 194 |
| 4 | 234 |
| 5 | 774 |
| 6 | 372 |
| 7 | 257 |
| 8 | 93 |